Entry from the Alexandria database: a geometry-optimized ErTa4Os5 structure (PBE).

Summary:
The calculation puts the raw total energy at -11.1081 eV/atom. The energy relative to the elements is -286 kJ/mol of formula units. As for the density of states at the Fermi level: 5.351 states/eV/cell. As for the space group: P4/mmm.

Unit cell a=3.138 b=3.138 c=17.234 alpha=90.00 beta=90.00 gamma=90.00
Fractional coordinates of all 10 atoms:
Er (0.000, 0.000, 0.000)
Ta (0.000, 0.000, 0.209)
Ta (0.000, 0.000, 0.404)
Ta (0.000, 0.000, 0.596)
Ta (0.000, 0.000, 0.791)
Os (0.500, 0.500, 0.125)
Os (0.500, 0.500, 0.310)
Os (0.500, 0.500, 0.500)
Os (0.500, 0.500, 0.690)
Os (0.500, 0.500, 0.875)

Entry from the Alexandria database: a geometry-optimized ErTaOs structure (PBE).

Summary:
The calculation puts the raw total energy at -9.3204 eV/atom. The energy relative to the elements is -30 kJ/mol of formula units. As for the density of states at the Fermi level: 5.111 states/eV/cell. As for the space group: P2_1/m.

Unit cell a=5.449 b=4.475 c=5.608 alpha=90.00 beta=106.07 gamma=90.00
Fractional coordinates of all 6 atoms:
Er (0.224, 0.250, 0.426)
Er (0.776, 0.750, 0.574)
Ta (0.342, 0.750, 0.974)
Ta (0.658, 0.250, 0.026)
Os (0.101, 0.250, 0.888)
Os (0.899, 0.750, 0.112)

Entry from the Alexandria database: a geometry-optimized ErTaOs2 structure (PBE).

Summary:
The calculation puts the raw total energy at -10.0001 eV/atom. The energy relative to the elements is -109 kJ/mol of formula units. As for the density of states at the Fermi level: 0.939 states/eV/cell. As for the space group: Fm-3m. Its energy above the most stable polymorph in this dataset is 60 meV per atom.

Unit cell a=4.619 b=4.619 c=4.619 alpha=60.00 beta=60.00 gamma=60.00
Fractional coordinates of all 4 atoms:
Er (0.000, 0.000, 0.000)
Ta (0.500, 0.500, 0.500)
Os (0.250, 0.250, 0.250)
Os (0.750, 0.750, 0.750)

Entry from the Alexandria database: a geometry-optimized ErTaOs2 structure (PBE).

Summary:
The calculation puts the raw total energy at -10.0600 eV/atom. The energy relative to the elements is -132 kJ/mol of formula units. As for the density of states at the Fermi level: 1.517 states/eV/cell. As for the space group: P4/mmm. Its energy above the most stable polymorph in this dataset is 0 meV per atom.

Unit cell a=3.212 b=3.212 c=6.876 alpha=90.00 beta=90.00 gamma=90.00
Fractional coordinates of all 4 atoms:
Er (0.000, 0.000, 0.000)
Ta (0.000, 0.000, 0.500)
Os (0.500, 0.500, 0.278)
Os (0.500, 0.500, 0.722)

Entry from the Alexandria database: a geometry-optimized ErTa2Os2 structure (PBE).

Summary:
The calculation puts the raw total energy at -10.4593 eV/atom. The energy relative to the elements is -151 kJ/mol of formula units. As for the density of states at the Fermi level: 2.782 states/eV/cell. As for the space group: I4/mmm.

Unit cell a=6.192 b=6.192 c=6.192 alpha=138.73 beta=138.73 gamma=59.79
Fractional coordinates of all 5 atoms:
Er (0.000, 0.000, 0.000)
Ta (0.250, 0.750, 0.500)
Ta (0.750, 0.250, 0.500)
Os (0.382, 0.382, 0.000)
Os (0.618, 0.618, 0.000)

Entry from the Alexandria database: a geometry-optimized ErTaTcOs structure (PBE).

Summary:
The calculation puts the raw total energy at -9.7516 eV/atom. The energy relative to the elements is -96 kJ/mol of formula units. As for the density of states at the Fermi level: 2.789 states/eV/cell. As for the space group: F-43m.

Unit cell a=4.620 b=4.620 c=4.620 alpha=60.00 beta=60.00 gamma=60.00
Fractional coordinates of all 4 atoms:
Er (0.000, 0.000, 0.000)
Ta (0.500, 0.500, 0.500)
Tc (0.250, 0.250, 0.250)
Os (0.750, 0.750, 0.750)

Entry from the Alexandria database: a geometry-optimized ErTaZnOs structure (PBE).

Summary:
The calculation puts the raw total energy at -7.3229 eV/atom. The energy relative to the elements is -36 kJ/mol of formula units. As for the density of states at the Fermi level: 2.696 states/eV/cell. As for the space group: F-43m.

Unit cell a=4.671 b=4.671 c=4.671 alpha=60.00 beta=60.00 gamma=60.00
Fractional coordinates of all 4 atoms:
Er (0.000, 0.000, 0.000)
Ta (0.500, 0.500, 0.500)
Zn (0.250, 0.250, 0.250)
Os (0.750, 0.750, 0.750)

Entry from the Alexandria database: a geometry-optimized TbErOs structure (PBE).

Summary:
The calculation puts the raw total energy at -6.7082 eV/atom. The energy relative to the elements is 29 kJ/mol of formula units. As for the density of states at the Fermi level: 6.340 states/eV/cell. As for the space group: P3_212. Its energy above the most stable polymorph in this dataset is 344 meV per atom.

Unit cell a=5.407 b=5.407 c=8.004 alpha=90.00 beta=90.00 gamma=120.00
Fractional coordinates of all 9 atoms:
Tb (0.177, 0.353, 0.333)
Tb (0.177, 0.823, 0.667)
Tb (0.647, 0.823, 0.000)
Er (0.366, 0.183, 0.000)
Er (0.817, 0.183, 0.667)
Er (0.817, 0.634, 0.333)
Os (0.006, 0.503, 0.000)
Os (0.497, 0.503, 0.667)
Os (0.497, 0.994, 0.333)